1.
Dy2HoEr6Tm | PBE | relaxed

abc: 8.6536 8.6536 9.4503
angles: 94.09 94.09 117.97
Fractional coordinates of all 20 atoms:
Dy 0.1965 0.3017 0.0441
Dy 0.3017 0.1965 0.5441
Dy 0.6983 0.8035 0.4559
Dy 0.8035 0.6983 0.9559
Ho 0.0221 0.9779 0.2500
Ho 0.9779 0.0221 0.7500
Er 0.0191 0.5713 0.1854
Er 0.1254 0.7503 0.5565
Er 0.2497 0.8746 0.9435
Er 0.2902 0.5032 0.3804
Er 0.4287 0.9809 0.3146
Er 0.4968 0.7098 0.1196
Er 0.5032 0.2902 0.8804
Er 0.5713 0.0191 0.6854
Er 0.7098 0.4968 0.6196
Er 0.7503 0.1254 0.0565
Er 0.8746 0.2497 0.4435
Er 0.9809 0.4287 0.8146
Tm 0.4086 0.5914 0.7500
Tm 0.5914 0.4086 0.2500

Summary:
**Space-group type**: C2/c
**Total moment**: 0.00 Bohr magnetons per cell
**Calculated formation energy**: 0.120 eV per atom
**Density of states at the Fermi level**: 26.78 states/eV per cell

2.
Li8GaPd2 | PBE | relaxed

abc: 7.0453 7.0453 4.6526
angles: 103.13 103.13 119.03
Fractional coordinates of all 11 atoms:
Li 0.0845 0.3268 0.6354
Li 0.2217 0.7783 0.0000
Li 0.3268 0.0845 0.6354
Li 0.3960 0.3960 0.2021
Li 0.6040 0.6040 0.7979
Li 0.6732 0.9155 0.3646
Li 0.7783 0.2217 0.0000
Li 0.9155 0.6732 0.3646
Ga 0.0000 0.0000 0.0000
Pd 0.3140 0.6860 0.5000
Pd 0.6860 0.3140 0.5000

Summary:
**Space-group type**: C2/m
**Total moment**: 0.00 Bohr magnetons per cell
**Calculated formation energy**: -0.175 eV per atom
**Density of states at the Fermi level**: 3.53 states/eV per cell
**Energy relative to the lowest polymorph listed for this composition**: 93 meV/atom

Which of these has the highest calculated formation energy?
Dy2HoEr6Tm

Which formula does entry 2 have?
Li8GaPd2